[1]
## AcPmAl2 (PBE-GGA)

Data for a geometry-optimized AcPmAl2 structure.

Lattice parameters (Å, degrees): 3.8665 3.8665 28.6354 90.00 90.00 120.00
Space group R-3m (No. 166, hexagonal axes)
Inequivalent atoms, fractional coordinates:
Ac (0.0000, 0.0000, 0.0000)
Pm (0.0000, 0.0000, 0.5000)
Al (0.0000, 0.0000, 0.2454)

- N(E_F): 9.42 states/eV/cell
- Crystal system: trigonal
- Formation energy: -0.026 eV/atom
- Relative energy among the computed polymorphs: 0.3064 eV/atom

---

[2]
## AcPm7Al4 (PBE-GGA)

Data for a geometry-optimized AcPm7Al4 structure.

Lattice parameters (Å, degrees): 13.922 5.830 10.824 90.00 124.76 90.00
Space group C2/m (No. 12)
Inequivalent atoms, fractional coordinates:
Ac (0.000, 0.000, 0.000)
Pm (0.000, 0.500, 0.000)
Pm (0.065, 0.000, 0.386)
Pm (0.193, 0.500, 0.631)
Pm (0.211, 0.000, 0.878)
Al (0.051, 0.500, 0.761)
Al (0.179, 0.500, 0.330)

- N(E_F): 27.70 states/eV/cell
- Crystal system: monoclinic
- Formation energy: -0.028 eV/atom

---

Copy entry 1 word for word.
## AcPmAl2 (PBE-GGA)

Data for a geometry-optimized AcPmAl2 structure.

Lattice parameters (Å, degrees): 3.8665 3.8665 28.6354 90.00 90.00 120.00
Space group R-3m (No. 166, hexagonal axes)
Inequivalent atoms, fractional coordinates:
Ac (0.0000, 0.0000, 0.0000)
Pm (0.0000, 0.0000, 0.5000)
Al (0.0000, 0.0000, 0.2454)

- N(E_F): 9.42 states/eV/cell
- Crystal system: trigonal
- Formation energy: -0.026 eV/atom
- Relative energy among the computed polymorphs: 0.3064 eV/atom